## Li7Co5O12 (PBE with a Hubbard U)

Data for crystalline Li7Co5O12 at its relaxed geometry.

distance to the lowest polymorph of the same formula	10.8	meV/atom
density	4.5	Mg/m³

a = 4.924 Å, b = 5.769 Å, c = 7.588 Å
α = 77.92°, β = 77.27°, γ = 73.11°
Space group P-1 (No. 2)
Unique sites:
Li 0.000 0.000 0.000 x1
Li 0.000 0.500 0.000 x1
Li 0.006 0.162 0.320 x2
Li 0.491 0.676 0.841 x2
Li 0.500 0.000 0.500 x1
Co 0.001 0.670 0.328 x2
Co 0.500 0.167 0.835 x2
Co 0.500 0.500 0.500 x1
O 0.236 0.359 0.431 x2
O 0.247 0.034 0.744 x2
O 0.248 0.670 0.108 x2
O 0.256 0.482 0.738 x2
O 0.257 0.810 0.407 x2
O 0.277 0.151 0.076 x2